Record 1
Dy3Mg3TlCdHg: optimized geometry, PBE-GGA.

Lattice parameters (Å, degrees): 7.5266 7.5266 4.5933 90.00 90.00 120.00
Closest atoms and distances in Å follow each position.
Sites, in units of the cell vectors:
Dy1 0.0048 0.5776 0.0000  2 Hg 3.19, 1 Cd 3.20, 2 Tl 3.23, 4 Mg 3.40-3.57
Dy2 0.4224 0.4271 0.0000  2 Hg 3.19, 1 Cd 3.20, 2 Tl 3.23, 4 Mg 3.40-3.57
Dy3 0.5729 0.9952 0.0000  2 Hg 3.19, 1 Cd 3.20, 2 Tl 3.23, 4 Mg 3.40-3.57
Mg1 0.0039 0.2438 0.5000  1 Hg 2.90, 2 Cd 2.93, 1 Tl 2.93, 2 Mg 3.15
Mg2 0.2398 0.9961 0.5000  1 Hg 2.90, 2 Cd 2.93, 1 Tl 2.93, 2 Mg 3.15
Mg3 0.7562 0.7602 0.5000  1 Hg 2.90, 2 Cd 2.93, 1 Tl 2.93, 2 Mg 3.15
Tl1 0.6667 0.3333 0.5000  3 Mg 2.93, 6 Dy 3.23
Cd1 0.0000 0.0000 0.0000  6 Mg 2.93, 3 Dy 3.20
Hg1 0.3333 0.6667 0.5000  3 Mg 2.90, 6 Dy 3.19

Final energy = -2.782 eV per atom


Record 2
Dy2HoCd5: optimized geometry, PBE-GGA.

Lattice parameters (Å, degrees): 5.0879 7.4532 10.3845 90.00 90.00 90.00
Closest atoms and distances in Å follow each position.
Sites, in units of the cell vectors:
Dy1 0.0000 0.0000 0.0000  10 Cd 3.12-3.44
Dy2 0.0000 0.5000 0.5000  10 Cd 3.12-3.44
Dy3 0.5000 0.0000 0.2834  8 Cd 3.12-3.21
Dy4 0.5000 0.5000 0.7834  8 Cd 3.12-3.21
Ho1 0.0000 0.0000 0.5345  8 Cd 3.07-3.33
Ho2 0.0000 0.5000 0.0345  8 Cd 3.07-3.33
Cd1 0.0000 0.2404 0.2647  2 Ho 3.07-3.33, 4 Dy 3.12-3.28, 2 Cd 3.20
Cd2 0.0000 0.2596 0.7647  2 Ho 3.07-3.33, 4 Dy 3.12-3.28, 2 Cd 3.20
Cd3 0.0000 0.7404 0.7647  2 Ho 3.07-3.33, 4 Dy 3.12-3.28, 2 Cd 3.20
Cd4 0.0000 0.7596 0.2647  2 Ho 3.07-3.33, 4 Dy 3.12-3.28, 2 Cd 3.20
Cd5 0.5000 0.0000 0.7772  8 Cd 3.15-3.24, 2 Dy 3.44
Cd6 0.5000 0.2466 0.0339  4 Cd 3.15-3.49, 4 Dy 3.16-3.21, 2 Ho 3.17
Cd7 0.5000 0.2534 0.5339  4 Cd 3.15-3.49, 4 Dy 3.16-3.21, 2 Ho 3.17
Cd8 0.5000 0.5000 0.2772  8 Cd 3.15-3.24, 2 Dy 3.44
Cd9 0.5000 0.7466 0.5339  4 Cd 3.15-3.49, 4 Dy 3.16-3.21, 2 Ho 3.17
Cd10 0.5000 0.7534 0.0339  4 Cd 3.15-3.49, 4 Dy 3.16-3.21, 2 Ho 3.17

E_form = -0.2961 eV per atom
Final energy = -2.578 eV per atom


Record 3
DyHoCd6: optimized geometry, PBE-GGA.

Lattice parameters (Å, degrees): 5.0572 7.1187 5.0580 90.00 90.00 90.00
Closest atoms and distances in Å follow each position.
Sites, in units of the cell vectors:
Dy1 0.0000 0.0000 0.0000  8 Cd 3.09-3.10
Ho1 0.5000 0.5000 0.5091  8 Cd 3.09
Cd1 0.0000 0.2503 0.4995  4 Cd 3.09, 2 Ho 3.09, 2 Dy 3.09-3.10
Cd2 0.0000 0.5000 0.0004  8 Cd 3.09
Cd3 0.0000 0.7497 0.4995  4 Cd 3.09, 2 Ho 3.09, 2 Dy 3.09-3.10
Cd4 0.5000 0.0000 0.5086  8 Cd 3.09-3.10
Cd5 0.5000 0.2504 0.0096  2 Ho 3.09, 4 Cd 3.09-3.10, 2 Dy 3.09
Cd6 0.5000 0.7496 0.0096  2 Ho 3.09, 4 Cd 3.09-3.10, 2 Dy 3.09

E_form = -0.2728 eV per atom
Final energy = -2.092 eV per atom
Energy above the most stable polymorph in this dataset = 0.014 eV per atom


Q: Which of these has the highest final energy?
A: DyHoCd6


Q: The lowest final energy belongs to which entry?
A: Dy3Mg3TlCdHg


Q: Look up the final energy of the second one.
A: -2.578 eV per atom